Entry i
The following is a DFT calculation (GGA-PBE) of Sr3W after structural relaxation.

Lattice parameters (Å, degrees): 6.807 6.807 6.807 116.73 116.73 116.73
Last column: magnetic moment on the atom in μB.
Atoms (fractional coordinates):
W: 0.000 0.500 0.500  2.35
Sr: 0.500 0.000 0.500  0.00
Sr: 0.500 0.500 0.000  0.00
Sr: 0.000 0.000 0.000  0.00

***

Entry ii
The following is a DFT calculation (GGA-PBE) of Sr3W after structural relaxation.

Lattice parameters (Å, degrees): 7.332 7.332 6.108 65.38 65.38 31.21
Last column: magnetic moment on the atom in μB.
Atoms (fractional coordinates):
W: 0.000 0.000 0.000  2.04
Sr: 0.698 0.698 0.802  0.01
Sr: 0.500 0.500 0.500  0.02
Sr: 0.302 0.302 0.198  0.01

***

Winner for stability: entry ii

***

Entry i
The following is a DFT calculation (GGA-PBE) of Sr3W after structural relaxation.

Lattice parameters (Å, degrees): 6.827 8.958 10.375 90.00 90.00 90.00
Last column: magnetic moment on the atom in μB.
Atoms (fractional coordinates):
W: 0.929 0.376 0.750  2.22
Sr: 0.636 0.171 0.561  0.01
Sr: 0.364 0.829 0.061  0.01
Sr: 0.388 0.531 0.750  0.01
W: 0.429 0.124 0.250  2.22
Sr: 0.888 0.969 0.250  0.01
Sr: 0.364 0.829 0.439  0.01
W: 0.571 0.876 0.750  2.22
Sr: 0.136 0.329 0.061  0.01
Sr: 0.136 0.329 0.439  0.01
Sr: 0.636 0.171 0.939  0.01
Sr: 0.612 0.469 0.250  0.01
W: 0.071 0.624 0.250  2.22
Sr: 0.864 0.671 0.939  0.01
Sr: 0.112 0.031 0.750  0.01
Sr: 0.864 0.671 0.561  0.01

***

Entry ii
The following is a DFT calculation (GGA-PBE) of Sr3W after structural relaxation.

Lattice parameters (Å, degrees): 5.273 5.295 5.294 90.00 90.00 90.00
Last column: magnetic moment on the atom in μB.
Atoms (fractional coordinates):
W: 0.000 0.500 0.417  2.44
Sr: 0.500 0.000 0.417  -0.02
Sr: 0.500 0.500 0.917  -0.02
Sr: 0.000 0.000 0.917  -0.03

***

Winner for stability: entry i

***

Entry i
The following is a DFT calculation (GGA-PBE) of SrW4 after structural relaxation.

Lattice parameters (Å, degrees): 5.044 5.044 5.044 103.28 103.28 122.71
Atoms (fractional coordinates):
W: 0.560 0.803 0.363
Sr: 0.000 0.000 0.000
W: 0.803 0.440 0.243
W: 0.440 0.197 0.637
W: 0.197 0.560 0.757

***

Entry ii
The following is a DFT calculation (GGA-PBE) of SrW4 after structural relaxation.

Lattice parameters (Å, degrees): 4.665 4.665 4.665 90.00 90.00 90.00
Atoms (fractional coordinates):
W: 0.000 0.500 0.500
Sr: 0.500 0.500 0.500
W: 0.500 0.000 0.500
W: 0.000 0.000 0.000
W: 0.500 0.500 0.000

***

Winner for stability: entry i

***

Entry i
The following is a DFT calculation (GGA-PBE) of SrW4 after structural relaxation.

Lattice parameters (Å, degrees): 6.514 6.514 6.514 141.10 141.10 56.19
Atoms (fractional coordinates):
W: 0.250 0.750 0.500
W: 0.376 0.376 0.000
W: 0.750 0.250 0.500
Sr: 0.000 0.000 0.000
W: 0.624 0.624 0.000

***

Entry ii
The following is a DFT calculation (GGA-PBE) of SrW4 after structural relaxation.

Lattice parameters (Å, degrees): 5.186 5.186 5.186 109.47 109.47 109.47
Atoms (fractional coordinates):
W: 0.500 0.500 0.500
W: 0.000 0.500 0.000
Sr: 0.000 0.000 0.000
W: 0.500 0.000 0.000
W: 0.000 0.000 0.500

***

Winner for stability: entry i

***

Entry i
The following is a DFT calculation (GGA-PBE) of Sr2YW after structural relaxation.

Lattice parameters (Å, degrees): 6.985 6.985 6.985 148.53 128.55 61.57
Last column: magnetic moment on the atom in μB.
Atoms (fractional coordinates):
Y: 0.307 0.807 0.500  0.12
Sr: 0.004 0.004 0.000  0.04
Sr: 0.705 0.205 0.500  0.02
W: 0.484 0.484 0.000  1.62

***

Entry ii
The following is a DFT calculation (GGA-PBE) of Sr2YW after structural relaxation.

Lattice parameters (Å, degrees): 6.116 6.786 3.288 79.01 83.42 115.02
Atoms (fractional coordinates):
Y: 0.500 0.500 0.000
W: 0.000 0.500 0.500
Sr: 0.000 0.000 0.000
Sr: 0.500 0.000 0.500

***

Winner for stability: entry i

***

Entry i
The following is a DFT calculation (GGA-PBE) of Sr2YW after structural relaxation.

Lattice parameters (Å, degrees): 11.178 11.178 8.351 47.99 47.99 90.00
Last column: magnetic moment on the atom in μB.
Atoms (fractional coordinates):
W: 0.000 0.000 0.000  0.92
Sr: 0.875 0.010 0.750  0.03
Sr: 0.375 0.240 0.750  0.03
Sr: 0.760 0.125 0.250  0.02
Y: 0.250 0.750 0.500  -0.06
Sr: 0.990 0.625 0.250  0.02
Y: 0.500 0.500 0.000  -0.06
W: 0.750 0.250 0.500  0.92

***

Entry ii
The following is a DFT calculation (GGA-PBE) of Sr2YW after structural relaxation.

Lattice parameters (Å, degrees): 9.600 9.600 4.683 75.92 75.92 20.91
Atoms (fractional coordinates):
Y: 0.250 0.250 0.250
Sr: 0.408 0.408 0.592
W: 0.750 0.750 0.750
Sr: 0.092 0.092 0.908

***

Winner for stability: entry ii

***

Entry i
The following is a DFT calculation (GGA-PBE) of SrY3W after structural relaxation.

Lattice parameters (Å, degrees): 5.309 5.309 5.309 90.00 90.00 90.00
Atoms (fractional coordinates):
Sr: 0.000 0.000 0.000
W: 0.500 0.500 0.500
Y: 0.000 0.500 0.000
Y: 0.000 0.000 0.500
Y: 0.500 0.000 0.000

***

Entry ii
The following is a DFT calculation (GGA-PBE) of SrY3W after structural relaxation.

Lattice parameters (Å, degrees): 5.579 5.579 5.579 90.00 90.00 90.00
Atoms (fractional coordinates):
Y: 0.000 0.500 0.000
W: 0.000 0.000 0.000
Sr: 0.500 0.500 0.500
Y: 0.500 0.000 0.000
Y: 0.000 0.000 0.500

***

Winner for stability: entry ii

***

Entry i
The following is a DFT calculation (GGA-PBE) of SrYW2 after structural relaxation.

Lattice parameters (Å, degrees): 4.107 4.107 5.181 90.00 90.00 90.00
Atoms (fractional coordinates):
W: 0.000 0.000 0.000
W: 0.500 0.500 0.000
Y: 0.500 0.000 0.500
Sr: 0.000 0.500 0.500

***

Entry ii
The following is a DFT calculation (GGA-PBE) of SrYW2 after structural relaxation.

Lattice parameters (Å, degrees): 5.102 5.102 5.102 60.00 60.00 60.00
Last column: magnetic moment on the atom in μB.
Atoms (fractional coordinates):
Sr: 0.000 0.000 0.000  0.07
Y: 0.500 0.500 0.500  0.17
W: 0.250 0.250 0.250  1.13
W: 0.750 0.750 0.750  1.13

***

Winner for stability: entry i

***

Entry i
The following is a DFT calculation (GGA-PBE) of SrZnW3 after structural relaxation.

Lattice parameters (Å, degrees): 4.816 4.816 4.816 90.00 90.00 90.00
Atoms (fractional coordinates):
W: 0.500 0.000 0.000
W: 0.000 0.000 0.500
W: 0.000 0.500 0.000
Sr: 0.000 0.000 0.000
Zn: 0.500 0.500 0.500

***

Entry ii
The following is a DFT calculation (GGA-PBE) of SrZnW3 after structural relaxation.

Lattice parameters (Å, degrees): 4.766 4.766 4.766 90.00 90.00 90.00
Atoms (fractional coordinates):
W: 0.500 0.000 0.000
W: 0.000 0.500 0.000
Sr: 0.500 0.500 0.500
Zn: 0.000 0.000 0.000
W: 0.000 0.000 0.500

***

Winner for stability: entry ii

***

Entry i
The following is a DFT calculation (GGA-PBE) of Sr2ZnW after structural relaxation.

Lattice parameters (Å, degrees): 3.579 3.579 9.018 90.00 90.00 90.00
Last column: magnetic moment on the atom in μB.
Atoms (fractional coordinates):
Sr: 0.500 0.500 0.328  0.01
Zn: 0.500 0.500 0.668  0.01
W: 0.000 0.000 0.580  0.09
Sr: 0.000 0.000 0.924  0.00

***

Entry ii
The following is a DFT calculation (GGA-PBE) of Sr2ZnW after structural relaxation.

Lattice parameters (Å, degrees): 4.363 4.363 11.247 78.82 78.82 90.00
Atoms (fractional coordinates):
W: 0.750 0.250 0.500
Zn: 0.500 0.500 0.000
W: 0.000 0.000 0.000
Sr: 0.128 0.625 0.250
Zn: 0.250 0.750 0.500
Sr: 0.622 0.125 0.250
Sr: 0.875 0.872 0.750
Sr: 0.375 0.378 0.750

***

Entry iii
The following is a DFT calculation (GGA-PBE) of Sr2ZnW after structural relaxation.

Lattice parameters (Å, degrees): 5.299 5.299 5.299 60.00 60.00 60.00
Last column: magnetic moment on the atom in μB.
Atoms (fractional coordinates):
Zn: 0.750 0.750 0.750  -0.06
Sr: 0.000 0.000 0.000  -0.04
Sr: 0.250 0.250 0.250  0.04
W: 0.500 0.500 0.500  1.91

***

Entry iv
The following is a DFT calculation (GGA-PBE) of Sr2ZnW after structural relaxation.

Lattice parameters (Å, degrees): 3.179 3.180 9.993 90.00 90.00 90.00
Atoms (fractional coordinates):
W: 0.500 0.500 0.250
Zn: 0.500 0.500 0.750
Sr: 0.000 0.000 0.498
Sr: 0.000 0.000 0.002

***

Winner for stability: entry i

***

Entry i
The following is a DFT calculation (GGA-PBE) of Sr2ZnW after structural relaxation.

Lattice parameters (Å, degrees): 4.438 4.767 6.275 67.67 90.00 90.00
Last column: magnetic moment on the atom in μB.
Atoms (fractional coordinates):
Sr: 0.000 0.982 0.911  0.02
Zn: 0.500 0.570 0.736  -0.01
W: 0.000 0.678 0.520  1.45
Sr: 0.500 0.271 0.334  0.03

***

Entry ii
The following is a DFT calculation (GGA-PBE) of Sr2ZnW after structural relaxation.

Lattice parameters (Å, degrees): 5.802 5.802 5.802 131.41 131.41 71.16
Last column: magnetic moment on the atom in μB.
Atoms (fractional coordinates):
W: 0.500 0.500 0.000  1.84
Zn: 0.750 0.250 0.500  -0.06
Sr: 0.250 0.750 0.500  0.01
Sr: 0.000 0.000 0.000  0.01

***

Winner for stability: entry i

***

Entry i
The following is a DFT calculation (GGA-PBE) of Sr2ZnW after structural relaxation.

Lattice parameters (Å, degrees): 3.427 3.427 10.882 83.21 83.21 55.17
Atoms (fractional coordinates):
Sr: 0.000 0.000 0.993
Zn: 0.250 0.250 0.250
Sr: 0.500 0.500 0.507
W: 0.750 0.750 0.750

***

Entry ii
The following is a DFT calculation (GGA-PBE) of Sr2ZnW after structural relaxation.

Lattice parameters (Å, degrees): 8.797 5.808 3.189 89.98 68.78 131.14
Last column: magnetic moment on the atom in μB.
Atoms (fractional coordinates):
Sr: 0.000 0.000 0.000  0.01
Sr: 0.500 0.000 0.500  0.01
Zn: 0.500 0.500 0.000  0.00
W: 0.000 0.500 0.500  0.81

***

Winner for stability: entry ii